A plane-wave DFT calculation with GGA-PBE was carried out for a relaxed K2RbLiOs crystal.

Results
Density = 2.31 Mg/m³
Calculated volume = 259.5 Å³/cell
M_tot = 0.4143 μB per atom
Calculated formation energy = 1786 meV per atom

Lattice parameters (Å, degrees): 6.765 5.671 6.765 90.00 90.00 90.00
Atoms (fractional coordinates):
1 K 0.000 0.000 0.500
2 K 0.500 0.000 0.000
3 Os 0.500 0.500 0.500
4 Rb 0.000 0.000 0.000
5 Li 0.000 0.500 0.000